This record from Alexandria describes an optimized crystal structure of Li9CdGe2. The functional is GGA-PBE.

Results
Volume (Å³/atom): 17.76
DOS(E_F) (states/eV/atom): 0.491
ΔH_f (0 K) (eV per atom): 0.00
Symmetry: R-3m (166)

Lattice parameters (Å, degrees): 5.204 5.204 9.571 74.23 74.23 60.00
Element x y z (fractional)
Li 0.663 0.663 0.012
Li 0.337 0.337 0.988
Li 0.500 0.500 0.500
Li 0.401 0.401 0.277
Li 0.921 0.401 0.277
Li 0.401 0.921 0.277
Li 0.599 0.599 0.723
Li 0.599 0.079 0.723
Li 0.079 0.599 0.723
Cd 0.000 0.000 0.000
Ge 0.847 0.847 0.458
Ge 0.153 0.153 0.542